Compound: ZrMnS3
Source: Alexandria
Functional: PBE
Structure: optimized geometry

a b c (Å): 3.711 6.384 9.659
angles (deg): 90.17 90.00 90.00
Each line ends with the local moment (μB).
Element x y z (fractional)
Zr (0.250, 0.898, 0.180)  0.17
Zr (0.750, 0.102, 0.820)  0.17
Mn (0.250, 0.573, 0.815)  4.21
Mn (0.750, 0.427, 0.185)  4.21
S (0.250, 0.247, 0.998)  0.07
S (0.750, 0.753, 0.002)  0.07
S (0.250, 0.579, 0.313)  0.06
S (0.750, 0.421, 0.687)  0.06
S (0.250, 0.912, 0.698)  0.02
S (0.750, 0.088, 0.302)  0.02

Results
Space-group type: P2_1/m, No. 11
E_form (uncorrected): -102.3 kJ per mole of atoms
Magnetic moment: 0.9991 μB/atom
Volume: 228.8 Å³/cell

Compound: MnCdBr2
Source: Alexandria
Functional: PBE
Structure: optimized geometry

a b c (Å): 6.207 6.207 6.207
angles (deg): 146.47 112.19 77.80
Each line ends with the local moment (μB).
Element x y z (fractional)
Br (0.059, 0.059, 0.000)  0.09
Br (0.708, 0.208, 0.500)  0.04
Cd (0.484, 0.484, 0.000)  -0.01
Mn (0.249, 0.749, 0.500)  4.37

Results
Space-group type: Imm2, No. 44
E_form (uncorrected): -22.0 kJ per mole of atoms
Magnetic moment: 1.2385 μB/atom
Volume: 119.8 Å³/cell

Compound: TbPdI
Source: Alexandria
Functional: PBE
Structure: optimized geometry

a b c (Å): 4.426 4.428 12.237
angles (deg): 68.87 89.94 60.03
Element x y z (fractional)
Tb (0.365, 0.969, 0.453)
Tb (0.532, 0.637, 0.200)
Pd (0.953, 0.794, 0.333)
Pd (0.758, 0.184, 0.542)
I (0.081, 0.539, 0.023)
I (0.177, 0.344, 0.673)

Results
Space-group type: P1, No. 1
E_form (uncorrected): -84.9 kJ per mole of atoms
Magnetic moment: 0.0000 μB/atom
Volume: 189.0 Å³/cell

Compound: Ho2In2Pd7
Source: Alexandria
Functional: PBE
Structure: optimized geometry

a b c (Å): 5.801 7.093 5.801
angles (deg): 90.00 102.16 90.00
Element x y z (fractional)
Ho (0.701, 0.000, 0.299)
Ho (0.299, 0.000, 0.701)
In (0.809, 0.500, 0.809)
In (0.191, 0.500, 0.191)
Pd (0.000, 0.292, 0.500)
Pd (0.500, 0.708, 0.000)
Pd (0.000, 0.708, 0.500)
Pd (0.500, 0.292, 0.000)
Pd (0.000, 0.000, 0.000)
Pd (0.500, 0.707, 0.500)
Pd (0.500, 0.293, 0.500)

Results
Space-group type: Cmmm, No. 65
VASP energy: -4.951 eV/atom
Magnetic moment: 0.0000 μB/atom
Volume: 233.3 Å³/cell

Compound: Y2ZrSeF
Source: Alexandria
Functional: PBE
Structure: optimized geometry

a b c (Å): 4.884 4.442 4.884
angles (deg): 90.00 90.00 90.00
Element x y z (fractional)
Y (0.000, 0.000, 0.500)
Y (0.500, 0.000, 0.000)
Se (0.500, 0.500, 0.500)
Zr (0.000, 0.500, 0.000)
F (0.000, 0.000, 0.000)

Results
Space-group type: P4/mmm, No. 123
E_form (uncorrected): -80.7 kJ per mole of atoms
Magnetic moment: 0.0000 μB/atom
Volume: 106.0 Å³/cell

Compound: InWSeN2
Source: Alexandria
Functional: PBE
Structure: optimized geometry

a b c (Å): 3.984 3.984 5.324
angles (deg): 90.00 90.00 90.00
Element x y z (fractional)
N (0.000, 0.500, 0.000)
N (0.500, 0.000, 0.000)
Se (0.000, 0.000, 0.500)
W (0.000, 0.000, 0.000)
In (0.500, 0.500, 0.500)

Results
Space-group type: P4/mmm, No. 123
E_form (uncorrected): 21.6 kJ per mole of atoms
Magnetic moment: 0.0000 μB/atom
Volume: 84.5 Å³/cell